Entry 1:
Here is a crystal of TiAg2O3 relaxed with PBEsol from Alexandria. Energies are from SCAN.

Output
V = 13.0 Å³ per atom
energy = -431.147 eV for the cell shown
ΔE_f (raw) = -10.33 eV/f.u.

Lattice parameters (Å, degrees): 9.278 9.278 4.958 103.58 103.58 49.20
Atoms (fractional coordinates):
1 Ti 0.047 0.800 0.883
2 Ti 0.200 0.953 0.617
3 Ti 0.800 0.047 0.383
4 Ti 0.953 0.200 0.117
5 Ag 0.122 0.381 0.734
6 Ag 0.297 0.489 0.438
7 Ag 0.381 0.122 0.234
8 Ag 0.489 0.297 0.938
9 Ag 0.511 0.703 0.062
10 Ag 0.619 0.878 0.766
11 Ag 0.703 0.511 0.562
12 Ag 0.878 0.619 0.266
13 O 0.068 0.206 0.489
14 O 0.070 0.930 0.250
15 O 0.170 0.562 0.983
16 O 0.206 0.068 0.989
17 O 0.269 0.731 0.750
18 O 0.438 0.830 0.517
19 O 0.562 0.170 0.483
20 O 0.731 0.269 0.250
21 O 0.794 0.932 0.011
22 O 0.830 0.438 0.017
23 O 0.930 0.070 0.750
24 O 0.932 0.794 0.511

***

Entry 2:
Here is a crystal of TlAgO2 relaxed with PBEsol from Alexandria. Energies are from SCAN.

Output
V = 16.1 Å³ per atom
energy = -236.516 eV for the cell shown
ΔE_f (raw) = -2.07 eV/f.u.

Lattice parameters (Å, degrees): 3.425 3.425 12.710 90.00 90.00 120.00
Atoms (fractional coordinates):
1 Tl 0.000 0.000 0.000
2 Tl 0.000 0.000 0.500
3 Ag 0.333 0.667 0.250
4 Ag 0.667 0.333 0.750
5 O 0.333 0.667 0.089
6 O 0.333 0.667 0.411
7 O 0.667 0.333 0.589
8 O 0.667 0.333 0.911

***

Entry 3:
Here is a crystal of TmAgW2O8 relaxed with PBEsol from Alexandria. Energies are from SCAN.

Output
V = 12.3 Å³ per atom
energy = -603.371 eV for the cell shown
ΔE_f (raw) = -29.26 eV/f.u.

Lattice parameters (Å, degrees): 7.218 7.218 7.116 114.14 114.14 94.69
Atoms (fractional coordinates):
1 Tm 0.193 0.807 0.000
2 Tm 0.807 0.193 0.000
3 Ag 0.183 0.183 0.521
4 Ag 0.817 0.817 0.479
5 W 0.290 0.290 0.025
6 W 0.334 0.666 0.500
7 W 0.666 0.334 0.500
8 W 0.710 0.710 0.975
9 O 0.053 0.053 0.860
10 O 0.146 0.396 0.241
11 O 0.184 0.719 0.652
12 O 0.199 0.464 0.909
13 O 0.281 0.816 0.348
14 O 0.396 0.146 0.241
15 O 0.464 0.199 0.909
16 O 0.476 0.476 0.661
17 O 0.524 0.524 0.339
18 O 0.536 0.801 0.091
19 O 0.604 0.854 0.759
20 O 0.719 0.184 0.652
21 O 0.801 0.536 0.091
22 O 0.816 0.281 0.348
23 O 0.854 0.604 0.759
24 O 0.947 0.947 0.140

***

Entry 4:
Here is a crystal of V6AgO15 relaxed with PBEsol from Alexandria. Energies are from SCAN.

Output
V = 11.8 Å³ per atom
energy = -563.957 eV for the cell shown
ΔE_f (raw) = -52.21 eV/f.u.

Lattice parameters (Å, degrees): 7.169 7.909 10.062 110.49 90.04 103.15
Atoms (fractional coordinates):
1 V 0.079 0.324 0.395
2 V 0.107 0.425 0.088
3 V 0.191 0.762 0.382
4 V 0.309 0.236 0.613
5 V 0.395 0.575 0.910
6 V 0.418 0.680 0.607
7 V 0.582 0.320 0.393
8 V 0.605 0.425 0.090
9 V 0.691 0.764 0.387
10 V 0.809 0.238 0.618
11 V 0.893 0.575 0.912
12 V 0.921 0.676 0.605
13 Ag 0.253 0.013 0.894
14 Ag 0.747 0.987 0.106
15 O 0.008 0.122 0.271
16 O 0.060 0.201 0.022
17 O 0.066 0.270 0.572
18 O 0.118 0.470 0.277
19 O 0.130 0.518 0.927
20 O 0.157 0.623 0.555
21 O 0.192 0.775 0.227
22 O 0.250 0.000 0.501
23 O 0.307 0.232 0.773
24 O 0.340 0.359 0.438
25 O 0.372 0.489 0.075
26 O 0.383 0.533 0.721
27 O 0.432 0.730 0.427
28 O 0.450 0.882 0.728
29 O 0.460 0.799 0.976
30 O 0.540 0.201 0.024
31 O 0.550 0.118 0.272
32 O 0.568 0.270 0.573
33 O 0.617 0.467 0.279
34 O 0.628 0.511 0.925
35 O 0.660 0.641 0.562
36 O 0.693 0.768 0.227
37 O 0.750 0.000 0.499
38 O 0.808 0.225 0.773
39 O 0.843 0.377 0.445
40 O 0.870 0.482 0.073
41 O 0.882 0.530 0.723
42 O 0.934 0.730 0.428
43 O 0.940 0.799 0.978
44 O 0.992 0.878 0.729

***

Entry 5:
Here is a crystal of V4Ag2O11 relaxed with PBEsol from Alexandria. Energies are from SCAN.

Output
V = 11.7 Å³ per atom
energy = -237.286 eV for the cell shown
ΔE_f (raw) = -36.06 eV/f.u.

Lattice parameters (Å, degrees): 7.731 7.731 9.226 125.17 125.17 26.54
Atoms (fractional coordinates):
1 V 0.137 0.137 0.425
2 V 0.353 0.353 0.854
3 V 0.647 0.647 0.146
4 V 0.863 0.863 0.575
5 Ag 0.393 0.393 0.291
6 Ag 0.607 0.607 0.709
7 O 0.002 0.002 0.317
8 O 0.154 0.154 0.216
9 O 0.183 0.183 0.650
10 O 0.325 0.325 0.997
11 O 0.332 0.332 0.587
12 O 0.500 0.500 0.000
13 O 0.668 0.668 0.413
14 O 0.675 0.675 0.003
15 O 0.817 0.817 0.350
16 O 0.846 0.846 0.784
17 O 0.998 0.998 0.683

***

Entry 6:
Here is a crystal of V4Ag3O12 relaxed with PBEsol from Alexandria. Energies are from SCAN.

Output
V = 12.6 Å³ per atom
energy = -549.882 eV for the cell shown
ΔE_f (raw) = -36.11 eV/f.u.

Lattice parameters (Å, degrees): 7.076 8.667 8.773 73.92 80.43 67.74
Atoms (fractional coordinates):
1 V 0.000 0.000 0.000
2 V 0.012 0.799 0.381
3 V 0.111 0.342 0.898
4 V 0.131 0.139 0.271
5 V 0.499 0.994 0.006
6 V 0.517 0.799 0.383
7 V 0.617 0.338 0.894
8 V 0.632 0.136 0.271
9 Ag 0.311 0.065 0.641
10 Ag 0.387 0.607 0.128
11 Ag 0.391 0.442 0.552
12 Ag 0.737 0.693 0.723
13 Ag 0.818 0.066 0.639
14 Ag 0.900 0.438 0.535
15 O 0.052 0.968 0.818
16 O 0.067 0.330 0.148
17 O 0.080 0.176 0.455
18 O 0.084 0.803 0.124
19 O 0.119 0.584 0.410
20 O 0.169 0.314 0.700
21 O 0.216 0.067 0.022
22 O 0.244 0.860 0.353
23 O 0.381 0.290 0.931
24 O 0.417 0.067 0.251
25 O 0.484 0.828 0.575
26 O 0.549 0.966 0.820
27 O 0.551 0.549 0.871
28 O 0.551 0.797 0.122
29 O 0.563 0.334 0.153
30 O 0.581 0.167 0.456
31 O 0.603 0.584 0.415
32 O 0.667 0.316 0.697
33 O 0.713 0.063 0.024
34 O 0.750 0.855 0.326
35 O 0.889 0.266 0.936
36 O 0.917 0.068 0.255
37 O 0.937 0.824 0.573
38 O 0.988 0.550 0.866

***

Entry 7:
Here is a crystal of Y3AgO relaxed with PBEsol from Alexandria. Energies are from SCAN.

Output
V = 20.5 Å³ per atom
energy = -128.161 eV for the cell shown
ΔE_f (raw) = -7.03 eV/f.u.

Lattice parameters (Å, degrees): 4.682 4.682 4.682 90.00 90.00 90.00
Atoms (fractional coordinates):
1 Y 0.000 0.000 0.500
2 Y 0.000 0.500 0.000
3 Y 0.500 0.000 0.000
4 Ag 0.500 0.500 0.500
5 O 0.000 0.000 0.000

***

Entry 8:
Here is a crystal of Zn3AgO relaxed with PBEsol from Alexandria. Energies are from SCAN.

Output
V = 21.7 Å³ per atom
energy = -74.407 eV for the cell shown
ΔE_f (raw) = 3.74 eV/f.u.

Lattice parameters (Å, degrees): 4.771 4.771 4.771 90.00 90.00 90.00
Atoms (fractional coordinates):
1 Zn 0.000 0.000 0.500
2 Zn 0.000 0.500 0.000
3 Zn 0.500 0.000 0.000
4 Ag 0.000 0.000 0.000
5 O 0.500 0.500 0.500

***

Entry 9:
Here is a crystal of Zr3AgO relaxed with PBEsol from Alexandria. Energies are from SCAN.

Output
V = 17.1 Å³ per atom
energy = -135.519 eV for the cell shown
ΔE_f (raw) = -5.82 eV/f.u.

Lattice parameters (Å, degrees): 4.408 4.408 4.408 90.00 90.00 90.00
Atoms (fractional coordinates):
1 Zr 0.000 0.000 0.500
2 Zr 0.000 0.500 0.000
3 Zr 0.500 0.000 0.000
4 Ag 0.500 0.500 0.500
5 O 0.000 0.000 0.000

***

Entry 10:
Here is a crystal of Ag2Os relaxed with PBEsol from Alexandria. Energies are from SCAN.

Output
formation energy = 512 meV/atom
V = 15.4 Å³ per atom
energy above the most stable polymorph in this dataset = 0.000 eV per atom
energy = -133.080 eV for the cell shown

Lattice parameters (Å, degrees): 2.738 2.738 7.104 90.00 90.00 120.00
Atoms (fractional coordinates):
1 Ag 0.333 0.667 0.169
2 Ag 0.667 0.333 0.831
3 Os 0.000 0.000 0.500

***

Entry 11:
Here is a crystal of Ag2Os relaxed with PBEsol from Alexandria. Energies are from SCAN.

Output
formation energy = 699 meV/atom
V = 16.0 Å³ per atom
energy above the most stable polymorph in this dataset = 0.187 eV per atom
energy = -265.036 eV for the cell shown

Lattice parameters (Å, degrees): 6.320 6.320 3.789 90.00 90.00 140.62
Atoms (fractional coordinates):
1 Ag 0.087 0.913 0.750
2 Ag 0.252 0.748 0.250
3 Ag 0.748 0.252 0.750
4 Ag 0.913 0.087 0.250
5 Os 0.437 0.563 0.750
6 Os 0.563 0.437 0.250

***

Entry 12:
Here is a crystal of AgOs relaxed with PBEsol from Alexandria. Energies are from SCAN.

Output
formation energy = 844 meV/atom
V = 15.5 Å³ per atom
energy above the most stable polymorph in this dataset = 0.277 eV per atom
energy = -203.119 eV for the cell shown

Lattice parameters (Å, degrees): 5.476 5.476 5.476 150.74 128.74 60.12
Atoms (fractional coordinates):
1 Ag 0.369 0.119 0.250
2 Ag 0.631 0.881 0.750
3 Os 0.109 0.359 0.750
4 Os 0.891 0.641 0.250

***

Entry 13:
Here is a crystal of AgOs2 relaxed with PBEsol from Alexandria. Energies are from SCAN.

Output
formation energy = 409 meV/atom
V = 14.9 Å³ per atom
energy above the most stable polymorph in this dataset = 0.000 eV per atom
energy = -173.899 eV for the cell shown

Lattice parameters (Å, degrees): 2.733 2.733 6.892 90.00 90.00 120.00
Atoms (fractional coordinates):
1 Ag 0.000 0.000 0.000
2 Os 0.333 0.667 0.648
3 Os 0.667 0.333 0.352

***

Entry 14:
Here is a crystal of AgOs relaxed with PBEsol from Alexandria. Energies are from SCAN.

Output
formation energy = 567 meV/atom
V = 15.4 Å³ per atom
energy above the most stable polymorph in this dataset = 0.000 eV per atom
energy = -204.225 eV for the cell shown

Lattice parameters (Å, degrees): 2.699 2.699 9.616 90.00 90.00 118.16
Atoms (fractional coordinates):
1 Ag 0.250 0.750 0.872
2 Ag 0.750 0.250 0.128
3 Os 0.250 0.750 0.387
4 Os 0.750 0.250 0.613

***

Entry 15:
Here is a crystal of AgOs2 relaxed with PBEsol from Alexandria. Energies are from SCAN.

Output
formation energy = 1208 meV/atom
V = 18.1 Å³ per atom
energy above the most stable polymorph in this dataset = 0.798 eV per atom
energy = -171.504 eV for the cell shown

Lattice parameters (Å, degrees): 3.710 3.710 4.557 90.00 90.00 120.00
Atoms (fractional coordinates):
1 Ag 0.000 0.000 0.000
2 Os 0.333 0.667 0.390
3 Os 0.667 0.333 0.610

***

Entry 16:
Here is a crystal of AgP2Os relaxed with PBEsol from Alexandria. Energies are from SCAN.

Output
formation energy = 683 meV/atom
V = 14.1 Å³ per atom
energy above the most stable polymorph in this dataset = 0.475 eV per atom
energy = -121.314 eV for the cell shown

Lattice parameters (Å, degrees): 4.369 4.369 2.956 90.00 90.00 90.00
Atoms (fractional coordinates):
1 Ag 0.000 0.000 0.000
2 P 0.000 0.500 0.500
3 P 0.500 0.000 0.500
4 Os 0.500 0.500 0.000

***

Entry 17:
Here is a crystal of AgP2Os relaxed with PBEsol from Alexandria. Energies are from SCAN.

Output
formation energy = 416 meV/atom
V = 14.8 Å³ per atom
energy above the most stable polymorph in this dataset = 0.208 eV per atom
energy = -122.381 eV for the cell shown

Lattice parameters (Å, degrees): 2.879 3.721 5.526 90.00 90.00 90.00
Atoms (fractional coordinates):
1 Ag 0.000 0.000 0.000
2 P 0.000 0.000 0.467
3 P 0.500 0.500 0.780
4 Os 0.500 0.500 0.357

***

Entry 18:
Here is a crystal of AgP2Os relaxed with PBEsol from Alexandria. Energies are from SCAN.

Output
formation energy = 243 meV/atom
V = 14.9 Å³ per atom
energy above the most stable polymorph in this dataset = 0.035 eV per atom
energy = -123.072 eV for the cell shown

Lattice parameters (Å, degrees): 4.080 4.080 5.313 98.92 98.92 43.03
Atoms (fractional coordinates):
1 Ag 0.000 0.000 0.000
2 P 0.230 0.230 0.707
3 P 0.770 0.770 0.293
4 Os 0.500 0.500 0.500

***

Entry 19:
Here is a crystal of AgP2Os relaxed with PBEsol from Alexandria. Energies are from SCAN.

Output
formation energy = 626 meV/atom
V = 15.0 Å³ per atom
energy above the most stable polymorph in this dataset = 0.418 eV per atom
energy = -121.541 eV for the cell shown

Lattice parameters (Å, degrees): 2.753 2.753 8.983 90.00 90.00 117.99
Atoms (fractional coordinates):
1 Ag 0.000 0.000 0.000
2 P 0.000 0.000 0.478
3 P 0.500 0.500 0.749
4 Os 0.500 0.500 0.275

***

Entry 20:
Here is a crystal of Ag4POs relaxed with PBEsol from Alexandria. Energies are from SCAN.

Output
formation energy = 1052 meV/atom
V = 16.8 Å³ per atom
energy = -201.434 eV for the cell shown

Lattice parameters (Å, degrees): 5.223 5.223 5.223 60.00 60.00 60.00
Atoms (fractional coordinates):
1 Ag 0.125 0.125 0.125
2 Ag 0.125 0.125 0.625
3 Ag 0.125 0.625 0.125
4 Ag 0.625 0.125 0.125
5 P 0.500 0.500 0.500
6 Os 0.750 0.750 0.750